Record 1
Below is an optimized crystal structure of NpSeF, with properties calculated at the PBE level.

Summary:
The energy relative to the elements, uncorrected is -1892 meV/atom. The calculation puts the total energy at -95.9 eV/cell.

abc: 6.519 6.519 6.519
angles: 90.00 90.00 90.00
Space group F-43m (No. 216)
Symmetry-distinct sites (fractional):
Np: 0.000 0.000 0.000 [4 per cell]
Se: 0.250 0.250 0.250 [4 per cell]
F: 0.250 0.250 0.750 [4 per cell]



Record 2
Below is an optimized crystal structure of Pm4Pr3In, with properties calculated at the PBE level.

Summary:
The calculation puts the total energy at -73.5 eV/cell. The formation energy is -0.083 eV/atom. As for the energy above the most stable polymorph in this dataset: 19.6 meV/atom.

abc: 10.174 7.165 7.219
angles: 90.00 90.00 90.00
Space group Pmn2_1 (No. 31)
Symmetry-distinct sites (fractional):
Pm: 0.000 0.001 0.000 [2 per cell]
Pm: 0.000 0.499 0.499 [2 per cell]
Pm: 0.249 0.738 0.750 [4 per cell]
Pr: 0.000 0.000 0.500 [2 per cell]
Pr: 0.250 0.259 0.750 [4 per cell]
In: 0.000 0.500 0.000 [2 per cell]



Record 3
Below is an optimized crystal structure of SbMo4P, with properties calculated at the PBE level.

Summary:
The energy relative to the elements, uncorrected is 546 meV/atom. The calculation puts the total energy at -198.3 eV/cell.

abc: 7.480 7.480 7.480
angles: 90.00 90.00 90.00
Space group F-43m (No. 216)
Symmetry-distinct sites (fractional):
Sb: 0.000 0.000 0.000 [4 per cell]
Mo: 0.123 0.123 0.623 [16 per cell]
P: 0.250 0.250 0.250 [4 per cell]



Repeat the third record exactly.
Below is an optimized crystal structure of SbMo4P, with properties calculated at the PBE level.

Summary:
The energy relative to the elements, uncorrected is 546 meV/atom. The calculation puts the total energy at -198.3 eV/cell.

abc: 7.480 7.480 7.480
angles: 90.00 90.00 90.00
Space group F-43m (No. 216)
Symmetry-distinct sites (fractional):
Sb: 0.000 0.000 0.000 [4 per cell]
Mo: 0.123 0.123 0.623 [16 per cell]
P: 0.250 0.250 0.250 [4 per cell]